(1)
Material: Nd2Te2O5
Method: DFT, PBE
State: relaxed

The space group is P4/mmm (No. 123) and the conventional cell measures 4.3073, 4.3073 and 7.1971 Å, with angles of 90.00, 90.00 and 90.00 degrees. The distinct sites, in fractional coordinates, are Nd at (0.0000, 0.0000, 0.0000), Nd at (0.0000, 0.0000, 0.5000), Te at (0.5000, 0.5000, 0.2043), O at (0.0000, 0.5000, 0.2658) and O at (0.5000, 0.5000, 0.5000).

As for the size of the total moment: 0.00 μB/f.u. For the distance to the lowest polymorph of the same formula, the calculation gives 496 meV/atom. The calculation puts the theoretical density at 7.76 g cm⁻³.

=====

(2)
Material: GdCuGeTe3
Method: DFT, PBE
State: relaxed

The space group is Pnma (No. 62) and the conventional cell measures 12.0831, 4.2985 and 12.2781 Å, with angles of 90.00, 90.00 and 90.00 degrees. The distinct sites, in fractional coordinates, are Gd at (0.0307, 0.2500, 0.1877), Cu at (0.2362, 0.7500, 0.2869), Ge at (0.1811, 0.2500, 0.4862), Te at (0.0419, 0.7500, 0.3783), Te at (0.1081, 0.2500, 0.9373) and Te at (0.2062, 0.7500, 0.6762).

As for the size of the total moment: 0.00 μB/f.u. For the distance to the lowest polymorph of the same formula, the calculation gives 22 meV/atom. The calculation puts the theoretical density at 7.04 g cm⁻³.

=====

(3)
Material: TlSiAgSe3
Method: DFT, PBE
State: relaxed

The space group is Cmcm (No. 63) and the conventional cell measures 3.5371, 14.5561 and 10.8859 Å, with angles of 90.00, 90.00 and 90.00 degrees. The distinct sites, in fractional coordinates, are Tl at (0.0000, 0.2058, 0.2500), Si at (0.0000, 0.5000, 0.0000), Ag at (0.0000, 0.1214, 0.7500), Se at (0.0000, 0.1200, 0.5143) and Se at (0.0000, 0.4703, 0.7500).

The calculation puts the total DFT energy (no corrections) at -88.1 eV per cell. The calculation puts the theoretical density at 6.84 g cm⁻³.

=====

(4)
Material: NbZnTcNi
Method: DFT, PBE
State: relaxed

The space group is F-43m (No. 216) and the conventional cell measures 6.1280, 6.1280 and 6.1280 Å, with angles of 90.00, 90.00 and 90.00 degrees. The distinct sites, in fractional coordinates, are Nb at (0.0000, 0.0000, 0.0000), Zn at (0.0000, 0.0000, 0.5000), Tc at (0.2500, 0.2500, 0.2500) and Ni at (0.2500, 0.2500, 0.7500).

As for the size of the total moment: 0.00 μB/f.u. For the distance to the lowest polymorph of the same formula, the calculation gives 0 meV/atom. The calculation puts the theoretical density at 9.09 g cm⁻³. The value obtained for the formation energy is -0.3 eV per formula unit.

=====

(5)
Material: TcAsNO
Method: DFT, PBE
State: relaxed

The space group is Pca2_1 (No. 29) and the conventional cell measures 5.8797, 7.1308 and 4.9639 Å, with angles of 90.00, 90.00 and 90.00 degrees. The distinct sites, in fractional coordinates, are Tc at (0.1041, 0.0639, 0.0000), As at (0.1040, 0.6769, 0.9269), N at (0.0845, 0.1546, 0.6207) and O at (0.0597, 0.3479, 0.1280).

As for the size of the total moment: 0.00 μB/f.u. For the distance to the lowest polymorph of the same formula, the calculation gives 26 meV/atom. The calculation puts the theoretical density at 6.48 g cm⁻³.

=====

(6)
Material: TePd
Method: DFT, PBE
State: relaxed

The space group is Pnma (No. 62) and the conventional cell measures 5.7909, 4.0864 and 7.3335 Å, with angles of 90.00, 90.00 and 90.00 degrees. The distinct sites, in fractional coordinates, are Te at (0.2494, 0.2500, 0.0813) and Pd at (0.0008, 0.2500, 0.7495).

The calculation puts the total DFT energy (no corrections) at -36.2 eV per cell. The calculation puts the theoretical density at 8.96 g cm⁻³.